(1)
DFT (PBE) results for a relaxed MoRhSe crystal.

Calculated values
Calculated volume in Å³/cell: 48
E in eV per atom: -7.20
Energy relative to the elements, uncorrected in eV per atom: 0.026
E above lowest polymorph in eV per atom: 0.0719
Space-group type: P3m1, No. 156
Magnetic moment in μB/f.u.: 0.00

Geometry as POSCAR:
```
MoRhSe
1.0
2.987 0.000 0.000
-1.493 2.587 0.000
0.000 0.000 6.259
Mo Rh Se
1 1 1
Direct
0.000 0.000 0.991 Mo
0.667 0.333 0.321 Rh
0.333 0.667 0.688 Se
```

=====

(2)
DFT (PBE) results for a relaxed MoRh2Se crystal.

Calculated values
Calculated volume in Å³/cell: 60
E in eV per atom: -7.14
Energy relative to the elements, uncorrected in eV per atom: 0.110
Space-group type: I-4m2, No. 119
Magnetic moment in μB/f.u.: 0.00

Geometry as POSCAR:
```
MoRh2Se
1.0
4.407 -0.021 0.000
0.041 4.407 0.000
-2.224 -2.193 3.109
Mo Rh Se
1 2 1
Direct
0.750 0.250 0.500 Mo
0.000 0.000 0.000 Rh
0.250 0.750 0.500 Rh
0.500 0.500 0.000 Se
```

=====

(3)
DFT (PBE) results for a relaxed MoRhSe crystal.

Calculated values
Calculated volume in Å³/cell: 48
E in eV per atom: -7.13
Energy relative to the elements, uncorrected in eV per atom: 0.091
E above lowest polymorph in eV per atom: 0.1362
Space-group type: P-6m2, No. 187
Magnetic moment in μB/f.u.: 0.00

Geometry as POSCAR:
```
MoRhSe
1.0
-1.948 3.751 0.574
-2.100 -3.633 0.767
0.950 0.055 2.862
Mo Rh Se
1 1 1
Direct
0.000 0.000 0.833 Mo
0.333 0.667 0.334 Rh
0.667 0.333 0.833 Se
```

=====

(4)
DFT (PBE) results for a relaxed MoRh2Se crystal.

Calculated values
Calculated volume in Å³/cell: 62
E in eV per atom: -7.28
Energy relative to the elements, uncorrected in eV per atom: -0.021
Space-group type: P4/mmm, No. 123
Magnetic moment in μB/f.u.: 0.00

Geometry as POSCAR:
```
MoRh2Se
1.0
2.857 0.000 0.000
0.000 2.857 0.000
0.000 0.000 7.587
Mo Rh Se
1 2 1
Direct
0.500 0.500 0.750 Mo
0.000 0.000 0.990 Rh
0.000 0.000 0.510 Rh
0.500 0.500 0.250 Se
```

=====

(5)
DFT (PBE) results for a relaxed MoRhSe crystal.

Calculated values
Calculated volume in Å³/cell: 99
E in eV per atom: -7.27
Energy relative to the elements, uncorrected in eV per atom: -0.046
E above lowest polymorph in eV per atom: 0.0000
Space-group type: Amm2, No. 38
Magnetic moment in μB/f.u.: 0.00

Geometry as POSCAR:
```
MoRhSe
1.0
3.036 0.000 0.000
-1.518 2.629 0.000
0.000 0.000 12.460
Mo Se Rh
2 2 2
Direct
0.440 0.879 0.000 Mo
0.449 0.898 0.500 Mo
0.782 0.565 0.354 Se
0.782 0.565 0.646 Se
0.107 0.213 0.840 Rh
0.107 0.213 0.160 Rh
```

=====

(6)
DFT (PBE) results for a relaxed MoRh2Se crystal.

Calculated values
Calculated volume in Å³/cell: 61
E in eV per atom: -7.01
Energy relative to the elements, uncorrected in eV per atom: 0.240
Space-group type: P4/mmm, No. 123
Magnetic moment in μB/f.u.: 1.26

Geometry as POSCAR:
```
MoRh2Se
1.0
4.038 0.000 0.000
0.000 3.884 0.000
0.000 0.000 3.884
Mo Rh Se
1 2 1
Direct
0.500 0.000 0.500 Mo
0.000 0.000 0.000 Rh
0.000 0.500 0.500 Rh
0.500 0.500 0.000 Se
```

=====

(7)
DFT (PBE) results for a relaxed MoRh2Se crystal.

Calculated values
Calculated volume in Å³/cell: 60
E in eV per atom: -7.11
Energy relative to the elements, uncorrected in eV per atom: 0.147
Space-group type: I4/mmm, No. 139
Magnetic moment in μB/f.u.: 0.00

Geometry as POSCAR:
```
MoRh2Se
1.0
4.875 -0.002 0.000
1.806 4.528 0.000
-3.340 -2.263 2.736
Mo Rh Se
1 2 1
Direct
0.750 0.250 0.500 Mo
0.000 0.000 0.000 Rh
0.500 0.500 0.000 Rh
0.250 0.750 0.500 Se
```

=====

(8)
DFT (PBE) results for a relaxed MoRhSe3 crystal.

Calculated values
Calculated volume in Å³/cell: 100
E in eV per atom: -5.95
Energy relative to the elements, uncorrected in eV per atom: -0.218
E above lowest polymorph in eV per atom: 0.0000
Space-group type: Amm2, No. 38
Magnetic moment in μB/f.u.: 0.01

Geometry as POSCAR:
```
MoRhSe3
1.0
-2.802 0.138 2.830
-3.407 -1.876 -3.283
0.327 -5.047 0.569
Mo Rh Se
1 1 3
Direct
0.512 0.270 0.732 Mo
0.012 0.883 0.119 Rh
0.512 0.113 0.256 Se
0.012 0.489 0.513 Se
0.512 0.746 0.890 Se
```

=====

(9)
DFT (PBE) results for a relaxed MoRh2Se crystal.

Calculated values
Calculated volume in Å³/cell: 61
E in eV per atom: -7.25
Energy relative to the elements, uncorrected in eV per atom: 0.008
Space-group type: Pmmm, No. 47
Magnetic moment in μB/f.u.: 0.12

Geometry as POSCAR:
```
MoRh2Se
1.0
-0.894 2.794 0.110
-2.750 -0.780 -2.526
-3.406 -1.251 4.095
Mo Rh Se
1 2 1
Direct
0.500 0.500 0.750 Mo
0.000 0.000 0.990 Rh
0.000 0.000 0.510 Rh
0.500 0.500 0.250 Se
```

=====

(10)
DFT (PBE) results for a relaxed MoRhSe crystal.

Calculated values
Calculated volume in Å³/cell: 54
E in eV per atom: -7.13
Energy relative to the elements, uncorrected in eV per atom: 0.096
E above lowest polymorph in eV per atom: 0.1418
Space-group type: F-43m, No. 216
Magnetic moment in μB/f.u.: 0.00

Geometry as POSCAR:
```
MoRhSe
1.0
4.246 0.000 0.000
2.123 3.678 0.000
2.123 1.226 3.467
Mo Rh Se
1 1 1
Direct
0.750 0.750 0.750 Mo
0.000 0.000 0.000 Rh
0.500 0.500 0.500 Se
```

=====

(11)
DFT (PBE) results for a relaxed MoRh2Se crystal.

Calculated values
Calculated volume in Å³/cell: 61
E in eV per atom: -7.25
Energy relative to the elements, uncorrected in eV per atom: 0.008
Space-group type: Pm, No. 6
Magnetic moment in μB/f.u.: 0.00

Geometry as POSCAR:
```
MoRh2Se
1.0
3.844 0.000 0.000
0.000 2.945 -0.038
0.000 1.541 5.383
Mo Rh Se
1 2 1
Direct
0.500 0.556 0.766 Mo
0.000 0.940 0.995 Rh
0.500 0.294 0.288 Rh
0.000 0.711 0.451 Se
```

=====

(12)
DFT (PBE) results for a relaxed Mo4RhSe crystal.

Calculated values
Calculated volume in Å³/cell: 101
E in eV per atom: -8.43
Energy relative to the elements, uncorrected in eV per atom: 0.592
Space-group type: F-43m, No. 216
Magnetic moment in μB/f.u.: 0.00

Geometry as POSCAR:
```
Mo4RhSe
1.0
0.000 3.697 3.697
3.697 0.000 3.697
3.697 3.697 0.000
Mo Rh Se
4 1 1
Direct
0.874 0.375 0.375 Mo
0.375 0.375 0.874 Mo
0.375 0.874 0.375 Mo
0.375 0.375 0.375 Mo
0.750 0.750 0.750 Rh
0.000 0.000 0.000 Se
```

=====

(13)
DFT (PBE) results for a relaxed MoRhSe3 crystal.

Calculated values
Calculated volume in Å³/cell: 117
E in eV per atom: -5.02
Energy relative to the elements, uncorrected in eV per atom: 0.707
E above lowest polymorph in eV per atom: 0.9249
Space-group type: Pm-3m, No. 221
Magnetic moment in μB/f.u.: 1.28

Geometry as POSCAR:
```
MoRhSe3
1.0
-4.353 -0.477 2.171
1.723 -3.740 2.633
1.404 3.111 3.499
Mo Rh Se
1 1 3
Direct
0.000 0.000 0.000 Mo
0.500 0.500 0.500 Rh
0.000 0.500 0.000 Se
0.000 0.000 0.500 Se
0.500 0.000 0.000 Se
```

=====

(14)
DFT (PBE) results for a relaxed MoRh2Se crystal.

Calculated values
Calculated volume in Å³/cell: 61
E in eV per atom: -7.21
Energy relative to the elements, uncorrected in eV per atom: 0.044
Space-group type: P4mm, No. 99
Magnetic moment in μB/f.u.: 0.00

Geometry as POSCAR:
```
MoRh2Se
1.0
-2.600 -1.324 -0.672
1.301 -1.380 -2.316
1.617 -5.211 4.014
Mo Rh Se
1 2 1
Direct
0.500 0.500 0.740 Mo
0.000 0.000 0.984 Rh
0.500 0.500 0.274 Rh
0.000 0.000 0.502 Se
```

=====

(15)
DFT (PBE) results for a relaxed Mo3RhSe crystal.

Calculated values
Calculated volume in Å³/cell: 94
E in eV per atom: -7.40
Energy relative to the elements, uncorrected in eV per atom: 1.269
E above lowest polymorph in eV per atom: 0.0000
Space-group type: Pm-3m, No. 221
Magnetic moment in μB/f.u.: 0.00

Geometry as POSCAR:
```
Mo3RhSe
1.0
4.551 0.000 0.000
0.000 4.551 0.000
0.000 0.000 4.551
Mo Rh Se
3 1 1
Direct
0.000 0.500 0.000 Mo
0.000 0.000 0.500 Mo
0.500 0.000 0.000 Mo
0.500 0.500 0.500 Rh
0.000 0.000 0.000 Se
```

=====

(16)
DFT (PBE) results for a relaxed MoRhSe crystal.

Calculated values
Calculated volume in Å³/cell: 47
E in eV per atom: -7.26
Energy relative to the elements, uncorrected in eV per atom: -0.040
E above lowest polymorph in eV per atom: 0.0057
Space-group type: I4mm, No. 107
Magnetic moment in μB/f.u.: 0.00

Geometry as POSCAR:
```
MoRhSe
1.0
5.597 -0.012 0.013
4.787 2.899 0.011
0.809 0.227 2.902
Mo Rh Se
1 1 1
Direct
0.004 0.004 0.996 Mo
0.341 0.341 0.659 Rh
0.655 0.655 0.345 Se
```

=====

(17)
DFT (PBE) results for a relaxed MoRh2Se crystal.

Calculated values
Calculated volume in Å³/cell: 61
E in eV per atom: -7.17
Energy relative to the elements, uncorrected in eV per atom: 0.088
Space-group type: Imm2, No. 44
Magnetic moment in μB/f.u.: 0.00

Geometry as POSCAR:
```
MoRh2Se
1.0
-0.175 -1.568 5.010
2.334 -4.531 1.269
0.591 4.825 -1.988
Mo Rh Se
1 2 1
Direct
0.277 0.777 0.500 Mo
0.002 0.002 0.000 Rh
0.723 0.223 0.500 Rh
0.498 0.498 0.000 Se
```

=====

(18)
DFT (PBE) results for a relaxed MoRh2Se crystal.

Calculated values
Calculated volume in Å³/cell: 61
E in eV per atom: -7.13
Energy relative to the elements, uncorrected in eV per atom: 0.123
Space-group type: R3m, No. 160
Magnetic moment in μB/f.u.: 0.00

Geometry as POSCAR:
```
MoRh2Se
1.0
-6.429 4.195 3.701
-5.494 2.619 5.966
-4.208 5.154 5.325
Mo Rh Se
1 2 1
Direct
0.753 0.753 0.753 Mo
0.002 0.002 0.002 Rh
0.246 0.246 0.246 Rh
0.499 0.499 0.499 Se
```

=====

(19)
DFT (PBE) results for a relaxed MoRh2Se crystal.

Calculated values
Calculated volume in Å³/cell: 61
E in eV per atom: -7.21
Energy relative to the elements, uncorrected in eV per atom: 0.040
Space-group type: R-3m, No. 166
Magnetic moment in μB/f.u.: 0.00

Geometry as POSCAR:
```
MoRh2Se
1.0
8.809 0.009 0.006
8.342 2.830 0.006
8.342 1.381 2.470
Mo Rh Se
1 2 1
Direct
0.750 0.750 0.750 Mo
0.999 0.999 0.999 Rh
0.501 0.501 0.501 Rh
0.250 0.250 0.250 Se
```

=====

(20)
DFT (PBE) results for a relaxed Mo3RhSe crystal.

Calculated values
Calculated volume in Å³/cell: 106
E in eV per atom: -6.99
Energy relative to the elements, uncorrected in eV per atom: 1.675
E above lowest polymorph in eV per atom: 0.4062
Space-group type: Pm-3m, No. 221
Magnetic moment in μB/f.u.: 0.00

Geometry as POSCAR:
```
Mo3RhSe
1.0
4.732 0.000 0.000
0.000 4.732 0.000
0.000 0.000 4.732
Mo Rh Se
3 1 1
Direct
0.000 0.500 0.000 Mo
0.000 0.000 0.500 Mo
0.500 0.000 0.000 Mo
0.000 0.000 0.000 Rh
0.500 0.500 0.500 Se
```

=====

(21)
DFT (PBE) results for a relaxed MoRhSe crystal.

Calculated values
Calculated volume in Å³/cell: 47
E in eV per atom: -7.04
Energy relative to the elements, uncorrected in eV per atom: 0.178
E above lowest polymorph in eV per atom: 0.2233
Space-group type: Imm2, No. 44
Magnetic moment in μB/f.u.: 0.00

Geometry as POSCAR:
```
MoRhSe
1.0
-3.634 0.757 2.930
-4.241 -1.681 -1.246
4.485 -1.297 0.753
Mo Rh Se
1 1 1
Direct
0.000 0.000 0.000 Mo
0.337 0.337 0.000 Rh
0.663 0.663 0.000 Se
```

=====

(22)
DFT (PBE) results for a relaxed MoRhSe4 crystal.

Calculated values
Calculated volume in Å³/cell: 130
E in eV per atom: -5.56
Energy relative to the elements, uncorrected in eV per atom: -0.204
E above lowest polymorph in eV per atom: 0.0000
Space-group type: Cmmm, No. 65
Magnetic moment in μB/f.u.: 0.50

Geometry as POSCAR:
```
MoRhSe4
1.0
-1.906 -1.149 3.087
-2.936 -3.880 -3.257
4.180 -3.946 1.113
Mo Rh Se
1 1 4
Direct
0.000 0.500 0.500 Mo
0.500 0.000 0.000 Rh
0.500 0.300 0.700 Se
0.000 0.804 0.804 Se
0.000 0.196 0.196 Se
0.500 0.700 0.300 Se
```

=====

(23)
DFT (PBE) results for a relaxed MoRh2Se crystal.

Calculated values
Calculated volume in Å³/cell: 173
E in eV per atom: -6.81
Energy relative to the elements, uncorrected in eV per atom: 0.449
Space-group type: I-42d, No. 122
Magnetic moment in μB/f.u.: 0.00

Geometry as POSCAR:
```
MoRh2Se
1.0
-0.791 1.646 -5.378
3.853 -3.799 -1.729
-2.342 -4.751 -4.109
Mo Rh Se
2 4 2
Direct
0.000 0.000 0.000 Mo
0.750 0.250 0.500 Mo
0.626 0.125 0.250 Rh
0.124 0.625 0.250 Rh
0.375 0.374 0.750 Rh
0.875 0.876 0.750 Rh
0.500 0.500 0.000 Se
0.250 0.750 0.500 Se
```

=====

(24)
DFT (PBE) results for a relaxed MoRh2Se crystal.

Calculated values
Calculated volume in Å³/cell: 60
E in eV per atom: -7.15
Energy relative to the elements, uncorrected in eV per atom: 0.107
Space-group type: Pmmm, No. 47
Magnetic moment in μB/f.u.: 0.00

Geometry as POSCAR:
```
MoRh2Se
1.0
3.036 0.000 0.000
0.000 4.490 0.000
0.000 0.000 4.431
Mo Rh Se
1 2 1
Direct
0.000 0.500 0.500 Mo
0.000 0.000 0.000 Rh
0.500 0.500 0.000 Rh
0.500 0.000 0.500 Se
```

=====

(25)
DFT (PBE) results for a relaxed MoRhSe4 crystal.

Calculated values
Calculated volume in Å³/cell: 119
E in eV per atom: -4.16
Energy relative to the elements, uncorrected in eV per atom: 1.197
E above lowest polymorph in eV per atom: 1.4008
Space-group type: F-43m, No. 216
Magnetic moment in μB/f.u.: 2.86

Geometry as POSCAR:
```
MoRhSe4
1.0
2.143 -3.578 -3.614
-0.999 -5.401 0.540
-3.284 -2.574 -3.612
Mo Rh Se
1 1 4
Direct
0.750 0.750 0.750 Mo
0.000 0.000 0.000 Rh
0.877 0.374 0.374 Se
0.374 0.374 0.877 Se
0.374 0.877 0.374 Se
0.374 0.374 0.374 Se
```

=====

(26)
DFT (PBE) results for a relaxed MoRh3Se crystal.

Calculated values
Calculated volume in Å³/cell: 103
E in eV per atom: -6.08
Energy relative to the elements, uncorrected in eV per atom: 1.189
E above lowest polymorph in eV per atom: 0.2901
Space-group type: Pm-3m, No. 221
Magnetic moment in μB/f.u.: 0.00

Geometry as POSCAR:
```
MoRh3Se
1.0
4.694 0.000 0.000
0.000 4.694 0.000
0.000 0.000 4.694
Mo Rh Se
1 3 1
Direct
0.000 0.000 0.000 Mo
0.000 0.500 0.000 Rh
0.000 0.000 0.500 Rh
0.500 0.000 0.000 Rh
0.500 0.500 0.500 Se
```

=====

(27)
DFT (PBE) results for a relaxed MoRh2Se crystal.

Calculated values
Calculated volume in Å³/cell: 61
E in eV per atom: -7.10
Energy relative to the elements, uncorrected in eV per atom: 0.155
Space-group type: C2/m, No. 12
Magnetic moment in μB/f.u.: 0.00

Geometry as POSCAR:
```
MoRh2Se
1.0
-4.144 1.141 -4.380
1.989 -4.316 0.360
-2.600 -1.182 0.286
Mo Rh Se
1 2 1
Direct
0.500 0.500 0.000 Mo
0.000 0.000 0.000 Rh
0.500 0.000 0.500 Rh
0.000 0.500 0.500 Se
```

=====

(28)
DFT (PBE) results for a relaxed SiMo2RhSe crystal.

Calculated values
Calculated volume in Å³/cell: 94
E in eV per atom: -6.22
Energy relative to the elements, uncorrected in eV per atom: 1.362
Space-group type: P4/mmm, No. 123
Magnetic moment in μB/f.u.: 0.00

Geometry as POSCAR:
```
SiMo2RhSe
1.0
-3.755 0.573 2.448
2.154 -1.699 3.703
1.363 4.161 1.117
Mo Rh Si Se
2 1 1 1
Direct
0.000 0.000 0.500 Mo
0.500 0.000 0.000 Mo
0.500 0.500 0.500 Rh
0.000 0.000 0.000 Si
0.000 0.500 0.000 Se
```

=====

(29)
DFT (PBE) results for a relaxed TiMoRhSe2 crystal.

Calculated values
Calculated volume in Å³/cell: 112
E in eV per atom: -6.06
Energy relative to the elements, uncorrected in eV per atom: 0.552
Space-group type: P4/mmm, No. 123
Magnetic moment in μB/f.u.: 1.80

Geometry as POSCAR:
```
TiMoRhSe2
1.0
-4.668 1.177 0.400
-1.157 -3.547 -3.069
-0.449 -3.031 3.672
Mo Rh Se Ti
1 1 2 1
Direct
0.000 0.000 0.000 Mo
0.000 0.000 0.500 Rh
0.000 0.500 0.000 Se
0.500 0.000 0.000 Se
0.500 0.500 0.500 Ti
```

=====

(30)
DFT (PBE) results for a relaxed Si2MoRh crystal.

Calculated values
Calculated volume in Å³/cell: 57
E in eV per atom: -7.20
Energy relative to the elements, uncorrected in eV per atom: 0.060
Space-group type: F-43m, No. 216
Magnetic moment in μB/f.u.: 0.00

Geometry as POSCAR:
```
Si2MoRh
1.0
4.330 0.000 0.000
2.165 3.750 0.000
2.165 1.250 3.535
Mo Rh Si
1 1 2
Direct
0.500 0.500 0.500 Mo
0.750 0.750 0.750 Rh
0.000 0.000 0.000 Si
0.250 0.250 0.250 Si
```